Density functional theory data (GGA-PBE) for a geometry-optimized GaBiBIr2 structure.

For the volume, the calculation gives 117.5 Å³/cell. Its mass density is 9.5 g cm⁻³. The density of states at the Fermi level comes out at 4.9 states/eV/cell. Its energy of formation from the pure elements is 2.0633 eV per atom.

a b c (Å): 5.095 4.526 5.095
angles (deg): 90.00 90.00 90.00
Last column: magnetic moment on the atom in μB.
Sites, in units of the cell vectors:
B: 0.000 0.500 0.000  0.01
Ir: 0.000 0.000 0.500  0.53
Ir: 0.500 0.000 0.000  0.55
Bi: 0.000 0.000 0.000  -0.01
Ga: 0.500 0.500 0.500  0.04

Density functional theory data (GGA-PBE) for a geometry-optimized HfPaCo4 structure.

For the volume, the calculation gives 84.2 Å³/cell. Its mass density is 12.7 g cm⁻³. The density of states at the Fermi level comes out at 8.8 states/eV/cell. Its energy of formation from the pure elements is -0.3095 eV per atom.

a b c (Å): 4.919 4.919 4.919
angles (deg): 60.00 60.00 60.00
Sites, in units of the cell vectors:
Co: 0.626 0.626 0.123
Co: 0.626 0.123 0.626
Co: 0.626 0.626 0.626
Co: 0.123 0.626 0.626
Pa: 0.250 0.250 0.250
Hf: 0.000 0.000 0.000